(1)
{
  "formula": "PmB2Os2",
  "functional": "PBE",
  "state": "optimized geometry",
  "formation_energy_mev_per_atom": -445.8,
  "e_above_lowest_polymorph_ev_per_atom": 0.0000,
  "vol_a3_per_atom": 15.1,
  "lattice_angstrom": [[-4.0447, -1.7785, 3.5011], [3.0401, -4.4957, -1.5256], [3.5502, 3.8822, 2.9053]],
  "species": ["Pm", "Pm", "B", "B", "B", "B", "Os", "Os", "Os", "Os"],
  "frac_coords": [[0.8751, 0.6249, 0.7500], [0.1249, 0.3751, 0.2500], [0.1880, 0.3120, 0.7500], [0.4382, 0.0618, 0.2500], [0.5618, 0.9382, 0.7500], [0.8120, 0.6880, 0.2500], [0.2379, 0.9882, 0.4757], [0.4882, 0.7379, 0.9757], [0.7621, 0.0118, 0.5243], [0.5118, 0.2621, 0.0243]]
}

---

(2)
{
  "formula": "PmB2Os3",
  "functional": "PBE",
  "state": "optimized geometry",
  "formation_energy_mev_per_atom": -118.1,
  "vol_a3_per_atom": 13.9,
  "lattice_angstrom": [[3.6209, 0.0000, 0.0000], [0.0000, 7.7490, -4.4739], [0.0000, 0.0000, 8.9478]],
  "species": ["Pm", "Pm", "Pm", "B", "B", "B", "B", "B", "B", "Os", "Os", "Os", "Os", "Os", "Os", "Os", "Os", "Os"],
  "frac_coords": [[0.5000, 0.0000, 0.0000], [0.0000, 0.6667, 0.3333], [0.0000, 0.3333, 0.6667], [0.5000, 0.8074, 0.1926], [0.5000, 0.3852, 0.1926], [0.5000, 0.8074, 0.6148], [0.5000, 0.1926, 0.8074], [0.5000, 0.6148, 0.8074], [0.5000, 0.1926, 0.3852], [0.5000, 0.5000, 0.5000], [0.5000, 0.0000, 0.5000], [0.5000, 0.5000, 0.0000], [0.0000, 0.7177, 0.7177], [0.0000, 0.0000, 0.2823], [0.0000, 0.2823, 0.0000], [0.0000, 0.2823, 0.2823], [0.0000, 0.0000, 0.7177], [0.0000, 0.7177, 0.0000]]
}

---

(3)
{
  "formula": "Pm2B3Os2",
  "functional": "PBE",
  "state": "optimized geometry",
  "formation_energy_mev_per_atom": -423.7,
  "e_above_lowest_polymorph_ev_per_atom": 0.0000,
  "vol_a3_per_atom": 17.0,
  "lattice_angstrom": [[3.8304, 0.0000, -1.1346], [-0.7787, 6.2586, -2.6288], [-0.3921, -1.3970, 5.7092]],
  "species": ["Pm", "Pm", "B", "B", "B", "Os", "Os"],
  "frac_coords": [[0.4302, 0.1762, 0.8605], [0.5698, 0.8238, 0.1395], [0.0000, 0.0000, 0.0000], [0.2195, 0.6483, 0.4391], [0.7805, 0.3517, 0.5609], [0.2111, 0.3220, 0.4223], [0.7889, 0.6780, 0.5777]]
}

---

(4)
{
  "formula": "PmB3Os3",
  "functional": "PBE",
  "state": "optimized geometry",
  "formation_energy_mev_per_atom": -2.3,
  "e_above_lowest_polymorph_ev_per_atom": 0.1111,
  "vol_a3_per_atom": 14.6,
  "lattice_angstrom": [[5.8953, 0.0000, 0.0000], [0.0000, 5.8953, 0.0000], [0.0000, 0.0000, 5.8953]],
  "species": ["B", "B", "B", "B", "B", "B", "Os", "Os", "Os", "Os", "Os", "Os", "Pm", "Pm"],
  "frac_coords": [[0.2500, 0.0000, 0.5000], [0.0000, 0.5000, 0.2500], [0.5000, 0.7500, 0.0000], [0.7500, 0.0000, 0.5000], [0.0000, 0.5000, 0.7500], [0.5000, 0.2500, 0.0000], [0.0000, 0.2500, 0.5000], [0.0000, 0.7500, 0.5000], [0.5000, 0.0000, 0.7500], [0.7500, 0.5000, 0.0000], [0.5000, 0.0000, 0.2500], [0.2500, 0.5000, 0.0000], [0.5000, 0.5000, 0.5000], [0.0000, 0.0000, 0.0000]]
}

---

(5)
{
  "formula": "PmB6Os2",
  "functional": "PBE",
  "state": "optimized geometry",
  "formation_energy_mev_per_atom": -315.7,
  "vol_a3_per_atom": 10.4,
  "lattice_angstrom": [[-2.0844, 0.7616, -2.5615], [-3.3868, -4.4101, -0.7974], [-5.0657, 1.0456, 2.1910]],
  "species": ["Pm", "B", "B", "B", "B", "B", "B", "Os", "Os"],
  "frac_coords": [[0.5000, 0.5000, 0.5000], [0.1911, 0.5718, 0.0460], [0.8089, 0.4282, 0.9540], [0.8089, 0.9540, 0.4282], [0.0000, 0.1460, 0.8540], [0.0000, 0.8540, 0.1460], [0.1911, 0.0460, 0.5718], [0.3405, 0.1595, 0.1595], [0.6595, 0.8405, 0.8405]]
}

---

(6)
{
  "formula": "Pm2BOs2",
  "functional": "PBE",
  "state": "optimized geometry",
  "formation_energy_mev_per_atom": -123.9,
  "vol_a3_per_atom": 19.0,
  "lattice_angstrom": [[-0.5208, -0.8408, 3.0922], [5.6145, -2.6892, 0.2144], [-0.6612, 5.8150, -0.2345]],
  "species": ["Pm", "Pm", "B", "Os", "Os"],
  "frac_coords": [[0.7999, 0.2999, 0.5999], [0.2001, 0.7001, 0.4001], [0.0000, 0.0000, 0.0000], [0.5000, 0.7686, 0.0000], [0.5000, 0.2314, 0.0000]]
}

---

(7)
{
  "formula": "PmB3Os",
  "functional": "PBE",
  "state": "optimized geometry",
  "formation_energy_mev_per_atom": -245.7,
  "vol_a3_per_atom": 13.6,
  "lattice_angstrom": [[3.8824, 0.0000, 0.0000], [0.0000, 5.5111, 0.0000], [-1.9412, 0.0000, 6.3496]],
  "species": ["Pm", "Pm", "B", "B", "B", "B", "B", "B", "Os", "Os"],
  "frac_coords": [[0.9034, 0.7500, 0.8067], [0.0966, 0.2500, 0.1933], [0.7456, 0.0978, 0.4912], [0.2544, 0.9022, 0.5088], [0.2544, 0.5978, 0.5088], [0.7456, 0.4022, 0.4912], [0.1187, 0.7500, 0.2375], [0.8813, 0.2500, 0.7625], [0.6653, 0.7500, 0.3306], [0.3347, 0.2500, 0.6694]]
}

---

(8)
{
  "formula": "PmB2OsRu",
  "functional": "PBE",
  "state": "optimized geometry",
  "formation_energy_mev_per_atom": -416.3,
  "vol_a3_per_atom": 15.7,
  "lattice_angstrom": [[4.0291, 0.0000, 0.0000], [0.0000, 4.0291, 0.0000], [-2.0146, -2.0146, 4.8423]],
  "species": ["Pm", "B", "B", "Os", "Ru"],
  "frac_coords": [[0.0000, 0.0000, 0.0000], [0.6814, 0.6814, 0.3627], [0.3186, 0.3186, 0.6373], [0.7500, 0.2500, 0.5000], [0.2500, 0.7500, 0.5000]]
}

---

(9)
{
  "formula": "PmB3OsRu",
  "functional": "PBE",
  "state": "optimized geometry",
  "formation_energy_mev_per_atom": -281.1,
  "vol_a3_per_atom": 13.9,
  "lattice_angstrom": [[6.0631, 0.0000, 0.0000], [0.0000, 5.2381, 0.0000], [0.0000, -2.6191, 5.2421]],
  "species": ["Pm", "Pm", "B", "B", "B", "B", "B", "B", "Os", "Os", "Ru", "Ru"],
  "frac_coords": [[0.7500, 0.2763, 0.5526], [0.2500, 0.7237, 0.4474], [0.2500, 0.2113, 0.4226], [0.0000, 0.3090, 0.0000], [0.5000, 0.6910, 0.0000], [0.5000, 0.3090, 0.0000], [0.0000, 0.6910, 0.0000], [0.7500, 0.7887, 0.5774], [0.2500, 0.0235, 0.0470], [0.7500, 0.9765, 0.9530], [0.2500, 0.3996, 0.7993], [0.7500, 0.6004, 0.2007]]
}

---

(10)
{
  "formula": "Pm2Si2BOs2",
  "functional": "PBE",
  "state": "optimized geometry",
  "formation_energy_uncorrected_ev_per_atom": -0.73,
  "vol_a3_per_atom": 18.4,
  "lattice_angstrom": [[4.2086, 0.0000, 0.0000], [2.1043, 5.6091, -0.5531], [2.1043, 1.5454, 5.2930]],
  "species": ["Pm", "Pm", "Si", "Si", "B", "Os", "Os"],
  "frac_coords": [[0.5662, 0.1709, 0.6968], [0.4338, 0.8291, 0.3032], [0.1592, 0.3973, 0.2843], [0.8408, 0.6027, 0.7157], [0.0000, 0.0000, 0.0000], [0.2112, 0.6818, 0.8958], [0.7888, 0.3182, 0.1042]]
}

---

(11)
{
  "formula": "PmTcB3Os",
  "functional": "PBE",
  "state": "optimized geometry",
  "formation_energy_mev_per_atom": -277.5,
  "vol_a3_per_atom": 14.2,
  "lattice_angstrom": [[6.1279, 0.0000, 0.0000], [0.0000, 5.2798, 0.0000], [0.0000, -2.6399, 5.2705]],
  "species": ["Pm", "Pm", "Tc", "Tc", "B", "B", "B", "B", "B", "B", "Os", "Os"],
  "frac_coords": [[0.7500, 0.2708, 0.5417], [0.2500, 0.7292, 0.4583], [0.2500, 0.0293, 0.0585], [0.7500, 0.9707, 0.9415], [0.2500, 0.2184, 0.4368], [0.0000, 0.3004, 0.0000], [0.5000, 0.6996, 0.0000], [0.5000, 0.3004, 0.0000], [0.0000, 0.6996, 0.0000], [0.7500, 0.7816, 0.5632], [0.2500, 0.4069, 0.8138], [0.7500, 0.5931, 0.1862]]
}

---

(12)
{
  "formula": "PrBOs",
  "functional": "PBE",
  "state": "optimized geometry",
  "formation_energy_mev_per_atom": -222.0,
  "e_above_lowest_polymorph_ev_per_atom": 0.0000,
  "vol_a3_per_atom": 18.0,
  "lattice_angstrom": [[4.5642, 0.0000, 0.0000], [0.0000, 3.6927, 0.0000], [0.0000, -1.8463, 3.1980]],
  "species": ["Pr", "B", "Os"],
  "frac_coords": [[0.6667, 0.6667, 0.3333], [0.1666, 0.0000, 0.0000], [0.1667, 0.3333, 0.6667]]
}

---

(13)
{
  "formula": "Pr3B8Os3",
  "functional": "PBE",
  "state": "optimized geometry",
  "formation_energy_mev_per_atom": 0.5,
  "vol_a3_per_atom": 13.8,
  "lattice_angstrom": [[3.1306, 0.0000, 0.0000], [1.5653, 8.0097, -0.0219], [1.5653, 2.1596, 7.7131]],
  "species": ["Pr", "Pr", "Pr", "B", "B", "B", "B", "B", "B", "B", "B", "Os", "Os", "Os"],
  "frac_coords": [[0.5000, 0.5000, 0.5000], [0.7805, 0.2195, 0.2195], [0.2195, 0.7805, 0.7805], [0.6270, 0.1369, 0.6090], [0.3730, 0.8630, 0.3910], [0.6270, 0.6090, 0.1369], [0.3730, 0.3910, 0.8630], [0.8534, 0.8275, 0.4656], [0.1466, 0.1725, 0.5344], [0.8534, 0.4656, 0.8275], [0.1466, 0.5344, 0.1725], [0.5000, 0.0000, 0.0000], [0.0000, 0.7855, 0.2145], [0.0000, 0.2145, 0.7855]]
}

---

(14)
{
  "formula": "PrB3Os",
  "functional": "PBE",
  "state": "optimized geometry",
  "formation_energy_mev_per_atom": -222.3,
  "vol_a3_per_atom": 13.9,
  "lattice_angstrom": [[-1.6066, -2.4085, 2.5965], [0.0798, -4.0919, -3.7463], [6.6895, -0.5368, 0.7289]],
  "species": ["Pr", "Pr", "B", "B", "B", "B", "B", "B", "Os", "Os"],
  "frac_coords": [[0.9045, 0.7500, 0.8091], [0.0955, 0.2500, 0.1909], [0.7456, 0.0982, 0.4912], [0.2544, 0.9018, 0.5088], [0.2544, 0.5982, 0.5088], [0.7456, 0.4018, 0.4912], [0.1218, 0.7500, 0.2437], [0.8782, 0.2500, 0.7563], [0.6675, 0.7500, 0.3351], [0.3325, 0.2500, 0.6649]]
}

---

(15)
{
  "formula": "Pr2B4Os3",
  "functional": "PBE",
  "state": "optimized geometry",
  "formation_energy_mev_per_atom": 149.6,
  "vol_a3_per_atom": 16.2,
  "lattice_angstrom": [[5.5430, -0.0456, 0.0000], [-2.6166, 4.8868, 0.0000], [-1.4632, -2.4206, 5.4108]],
  "species": ["Pr", "Pr", "B", "B", "B", "B", "Os", "Os", "Os"],
  "frac_coords": [[0.6561, 0.6561, 0.3122], [0.3439, 0.3439, 0.6878], [0.0449, 0.6975, 0.7425], [0.6975, 0.0449, 0.7425], [0.9551, 0.3025, 0.2575], [0.3025, 0.9551, 0.2575], [0.5000, 0.0000, 0.0000], [0.0000, 0.0000, 0.0000], [0.0000, 0.5000, 0.0000]]
}

---

(16)
{
  "formula": "Pr3B7Os",
  "functional": "PBE",
  "state": "optimized geometry",
  "formation_energy_mev_per_atom": -376.6,
  "vol_a3_per_atom": 13.1,
  "lattice_angstrom": [[-3.5916, 0.0015, 0.4911], [1.6573, -8.1537, -1.2337], [1.3023, -1.1769, 9.5283]],
  "species": ["Pr", "Pr", "Pr", "Pr", "Pr", "Pr", "B", "B", "B", "B", "B", "B", "B", "B", "B", "B", "B", "B", "B", "B", "Os", "Os"],
  "frac_coords": [[0.1038, 0.2076, 0.4384], [0.8962, 0.7924, 0.5616], [0.2459, 0.4918, 0.7500], [0.7541, 0.5082, 0.2500], [0.1038, 0.2076, 0.0616], [0.8962, 0.7924, 0.9384], [0.4660, 0.9319, 0.7500], [0.5340, 0.0681, 0.2500], [0.4743, 0.9486, 0.3963], [0.5257, 0.0514, 0.6037], [0.5257, 0.0514, 0.8963], [0.4743, 0.9486, 0.1037], [0.3675, 0.7351, 0.3464], [0.6325, 0.2649, 0.6536], [0.2738, 0.5475, 0.4677], [0.7262, 0.4525, 0.5323], [0.7262, 0.4525, 0.9677], [0.2738, 0.5475, 0.0323], [0.3675, 0.7351, 0.1536], [0.6325, 0.2649, 0.8464], [0.9420, 0.8840, 0.2500], [0.0580, 0.1160, 0.7500]]
}

---

(17)
{
  "formula": "PrBOs",
  "functional": "PBE",
  "state": "optimized geometry",
  "formation_energy_mev_per_atom": 283.9,
  "e_above_lowest_polymorph_ev_per_atom": 0.5059,
  "vol_a3_per_atom": 23.4,
  "lattice_angstrom": [[5.0025, 0.4595, 0.3648], [2.9320, 5.8438, 0.9273], [2.9311, 2.2285, 5.4959]],
  "species": ["Pr", "Pr", "B", "B", "Os", "Os"],
  "frac_coords": [[0.9503, 0.7780, 0.0468], [0.4530, 0.3558, 0.4655], [0.2712, 0.9559, 0.1171], [0.7728, 0.4292, 0.6418], [0.4085, 0.2837, 0.9889], [0.9086, 0.3042, 0.9686]]
}

---

(18)
{
  "formula": "PrB3Os2",
  "functional": "PBE",
  "state": "optimized geometry",
  "formation_energy_mev_per_atom": -51.8,
  "vol_a3_per_atom": 13.3,
  "lattice_angstrom": [[1.5040, 2.1431, 5.3401], [4.6407, -3.0605, 3.2331], [6.1754, 1.5125, 0.9656]],
  "species": ["Pr", "Pr", "B", "B", "B", "B", "B", "B", "Os", "Os", "Os", "Os"],
  "frac_coords": [[0.1057, 0.2500, 0.2500], [0.8943, 0.7500, 0.7500], [0.0000, 0.6682, 0.3318], [0.0000, 0.3318, 0.6682], [0.5000, 0.8318, 0.1682], [0.5000, 0.0000, 0.5000], [0.5000, 0.5000, 0.0000], [0.5000, 0.1682, 0.8318], [0.2758, 0.9145, 0.9145], [0.3951, 0.4145, 0.4145], [0.6049, 0.5855, 0.5855], [0.7242, 0.0855, 0.0855]]
}

---

(19)
{
  "formula": "PrBOs",
  "functional": "PBE",
  "state": "optimized geometry",
  "formation_energy_mev_per_atom": -189.9,
  "e_above_lowest_polymorph_ev_per_atom": 0.0321,
  "vol_a3_per_atom": 19.6,
  "lattice_angstrom": [[-3.8226, 1.3322, -0.1585], [-0.9559, -2.0041, 6.2080], [2.6187, 7.8640, 2.9420]],
  "species": ["Os", "Os", "Os", "Os", "B", "B", "B", "B", "Pr", "Pr", "Pr", "Pr"],
  "frac_coords": [[0.2500, 0.1371, 0.9641], [0.7500, 0.3629, 0.4641], [0.7500, 0.8629, 0.0359], [0.2500, 0.6371, 0.5359], [0.7500, 0.6826, 0.5012], [0.7500, 0.1826, 0.9988], [0.2500, 0.8174, 0.0012], [0.2500, 0.3174, 0.4988], [0.2500, 0.4764, 0.1842], [0.2500, 0.9764, 0.3158], [0.7500, 0.5236, 0.8158], [0.7500, 0.0236, 0.6842]]
}

---

(20)
{
  "formula": "PrB2OsRu",
  "functional": "PBE",
  "state": "optimized geometry",
  "formation_energy_mev_per_atom": -396.0,
  "vol_a3_per_atom": 16.1,
  "lattice_angstrom": [[-2.4469, 3.0944, -0.8306], [-3.1067, -2.5470, -0.3365], [1.8153, 0.2614, 5.4098]],
  "species": ["Pr", "B", "B", "Os", "Ru"],
  "frac_coords": [[0.0000, 0.0000, 0.0000], [0.6826, 0.6826, 0.3652], [0.3174, 0.3174, 0.6348], [0.7500, 0.2500, 0.5000], [0.2500, 0.7500, 0.5000]]
}

---

(21)
{
  "formula": "Pr2Si2BOs2",
  "functional": "PBE",
  "state": "optimized geometry",
  "formation_energy_uncorrected_ev_per_atom": -0.70,
  "vol_a3_per_atom": 19.0,
  "lattice_angstrom": [[-2.3128, 1.3324, 3.2911], [1.8869, -2.6511, 5.1273], [2.9396, 4.2066, 3.0907]],
  "species": ["Pr", "Pr", "Si", "Si", "B", "Os", "Os"],
  "frac_coords": [[0.5658, 0.1735, 0.6949], [0.4342, 0.8265, 0.3051], [0.1655, 0.3941, 0.2748], [0.8345, 0.6059, 0.7252], [0.0000, 0.0000, 0.0000], [0.2092, 0.6826, 0.8991], [0.7908, 0.3174, 0.1009]]
}

---

(22)
{
  "formula": "PrSi2BOs2",
  "functional": "PBE",
  "state": "optimized geometry",
  "formation_energy_uncorrected_ev_per_atom": -0.51,
  "vol_a3_per_atom": 15.7,
  "lattice_angstrom": [[-2.3056, -3.4753, 0.2060], [0.7511, -0.2553, 4.0996], [-4.4000, 2.9779, 0.9916]],
  "species": ["Pr", "Si", "Si", "B", "Os", "Os"],
  "frac_coords": [[0.0000, 0.0000, 0.5000], [0.5000, 0.5000, 0.7242], [0.5000, 0.5000, 0.2758], [0.0000, 0.0000, 0.0000], [0.5000, 0.0000, 0.0000], [0.0000, 0.5000, 0.0000]]
}

---

(23)
{
  "formula": "BOsPt2",
  "functional": "PBE",
  "state": "optimized geometry",
  "formation_energy_mev_per_atom": 409.0,
  "vol_a3_per_atom": 14.0,
  "lattice_angstrom": [[2.7447, 0.0000, 0.0000], [1.3723, 2.3770, 0.0000], [1.3723, 0.7923, 8.6052]],
  "species": ["B", "Os", "Pt", "Pt"],
  "frac_coords": [[0.5000, 0.5000, 0.5000], [0.0000, 0.0000, 0.0000], [0.1067, 0.1067, 0.6800], [0.8933, 0.8933, 0.3200]]
}